No. 1
The following is a GGA-PBE calculation of MnV2Co2 after structural relaxation, from the Alexandria database.

Values from the calculation:
Its energy of formation is 0.111 eV per atom.

Lattice parameters (Å, degrees): 6.8350 6.8350 2.6503 90.00 90.00 90.00
With the nearest neighbours (Å) after each atom.
Space group P4/mbm (No. 127)
One atom of each set of equivalent atoms:
Mn 0.0000 0.0000 0.0000 [2 per cell]  4 V 2.57, 2 Mn 2.65
V 0.1605 0.3395 0.0000 [4 per cell]  6 Co 2.37-2.43, 2 Mn 2.57
Co 0.1368 0.6368 0.5000 [4 per cell]  6 V 2.37-2.43, 1 Co 2.65

No. 2
The following is a GGA-PBE calculation of MnV2Co2 after structural relaxation, from the Alexandria database.

Values from the calculation:
Its energy of formation is -0.019 eV per atom.

Lattice parameters (Å, degrees): 6.6674 6.6674 2.7638 90.00 90.00 90.00
With the nearest neighbours (Å) after each atom.
Space group P4/mbm (No. 127)
One atom of each set of equivalent atoms:
Mn 0.0000 0.0000 0.0000 [2 per cell]  4 Co 2.61, 2 Mn 2.76, 8 V 2.83
V 0.1716 0.3284 0.5000 [4 per cell]  6 Co 2.32-2.46
Co 0.1308 0.6308 0.0000 [4 per cell]  6 V 2.32-2.46, 1 Co 2.47

No. 3
The following is a GGA-PBE calculation of Mn2V3Co2 after structural relaxation, from the Alexandria database.

Values from the calculation:
Its energy of formation is 0.067 eV per atom.

Lattice parameters (Å, degrees): 6.7964 3.9283 6.9424 90.00 108.98 90.00
With the nearest neighbours (Å) after each atom.
Space group C2/m (No. 12)
One atom of each set of equivalent atoms:
Mn 0.1240 0.0000 0.3718 [4 per cell]  7 V 2.42-2.59
V 0.0000 0.5000 0.5000 [2 per cell]  6 Mn 2.42, 2 Co 2.49
V 0.2451 0.5000 0.2336 [4 per cell]  4 Co 2.32-2.39, 4 Mn 2.44-2.59
Co 0.1264 0.5000 0.8798 [4 per cell]  5 V 2.32-2.49

No. 4
The following is a GGA-PBE calculation of Mn2VCo3 after structural relaxation, from the Alexandria database.

Values from the calculation:
Its energy of formation is -0.080 eV per atom.

Lattice parameters (Å, degrees): 4.0706 12.1935 5.7558 90.00 90.00 90.00
With the nearest neighbours (Å) after each atom.
Space group Cmmm (No. 65)
One atom of each set of equivalent atoms:
Mn 0.0000 0.0000 0.0000 [2 per cell]  8 Co 2.50-2.53
Mn 0.0000 0.0000 0.5000 [2 per cell]  8 Co 2.49
Mn 0.0000 0.3328 0.0000 [4 per cell]  8 Co 2.49-2.51
V 0.0000 0.3368 0.5000 [4 per cell]  8 Co 2.45-2.49
Co 0.0000 0.1686 0.2561 [8 per cell]  3 V 2.47-2.49, 5 Mn 2.49-2.53
Co 0.0000 0.5000 0.2518 [4 per cell]  2 V 2.45, 6 Mn 2.49-2.50

No. 5
The following is a GGA-PBE calculation of MnV5Co8 after structural relaxation, from the Alexandria database.

Values from the calculation:
Its energy of formation is 0.118 eV per atom.

Lattice parameters (Å, degrees): 6.7695 6.7695 7.4235 90.00 90.00 90.00
With the nearest neighbours (Å) after each atom.
Space group I-4 (No. 82)
One atom of each set of equivalent atoms:
Mn 0.0000 0.0000 0.0000 [2 per cell]  4 Co 2.36
V 0.0000 0.5000 0.2500 [2 per cell]  8 Co 2.28-2.43
V 0.1389 0.2681 0.6846 [8 per cell]  8 Co 2.35-2.62
Co 0.0774 0.1757 0.3706 [8 per cell]  5 V 2.39-2.52, 5 Co 2.49-2.66
Co 0.0788 0.3397 0.9893 [8 per cell]  4 V 2.28-2.51, 1 Mn 2.36, 3 Co 2.42-2.54

No. 6
The following is a GGA-PBE calculation of MnV3Co6 after structural relaxation, from the Alexandria database.

Values from the calculation:
Its energy of formation is 0.154 eV per atom.

Lattice parameters (Å, degrees): 10.0683 4.6655 6.4051 90.00 126.07 90.00
With the nearest neighbours (Å) after each atom.
Space group C2/m (No. 12)
One atom of each set of equivalent atoms:
Mn 0.0000 0.0000 0.0000 [2 per cell]  6 Co 2.36-2.42
V 0.0000 0.0000 0.5000 [2 per cell]  6 Co 2.25-2.36
V 0.0019 0.5000 0.2336 [4 per cell]  5 Co 2.41-2.67
Co 0.2041 0.0000 0.4508 [4 per cell]  2 V 2.25-2.41, 1 Mn 2.36, 6 Co 2.37-2.45
Co 0.2424 0.2504 0.8140 [8 per cell]  5 Co 2.30-2.42, 1 V 2.36, 1 Mn 2.42

No. 7
The following is a GGA-PBE calculation of MnV4Co after structural relaxation, from the Alexandria database.

Values from the calculation:
Its energy of formation is 0.357 eV per atom.

Lattice parameters (Å, degrees): 6.6661 4.1450 6.7003 90.00 112.09 90.00
With the nearest neighbours (Å) after each atom.
Space group C2/m (No. 12)
One atom of each set of equivalent atoms:
Mn 0.0000 0.0000 0.0000 [2 per cell]  8 V 2.31-2.48
V 0.1172 0.0000 0.3732 [4 per cell]  1 Mn 2.32, 3 Co 2.37-2.48
V 0.1269 0.5000 0.8820 [4 per cell]  3 Mn 2.31-2.48, 1 Co 2.37
Co 0.0000 0.5000 0.5000 [2 per cell]  8 V 2.37-2.48

No. 8
The following is a GGA-PBE calculation of Mn2V4Co after structural relaxation, from the Alexandria database.

Values from the calculation:
Its energy of formation is 0.802 eV per atom.

Lattice parameters (Å, degrees): 4.2500 4.2500 11.7839 90.00 90.00 90.00
With the nearest neighbours (Å) after each atom.
Space group I4/mmm (No. 139)
One atom of each set of equivalent atoms:
Mn 0.0000 0.0000 0.1196 [4 per cell]  1 V 2.17
V 0.0000 0.0000 0.3034 [4 per cell]  1 Mn 2.17, 1 Co 2.32
V 0.0000 0.5000 0.0000 [4 per cell]  2 Co 2.12
Co 0.0000 0.0000 0.5000 [2 per cell]  6 V 2.12-2.32

No. 9
The following is a GGA-PBE calculation of Mn2V8Co3 after structural relaxation, from the Alexandria database.

Values from the calculation:
Its energy of formation is 0.214 eV per atom.

Lattice parameters (Å, degrees): 10.6395 6.8737 4.6766 90.00 94.98 90.00
With the nearest neighbours (Å) after each atom.
Space group C2/m (No. 12)
One atom of each set of equivalent atoms:
Mn 0.1995 0.0000 0.2967 [4 per cell]  5 V 2.33-2.41, 1 Co 2.40
V 0.0999 0.5000 0.9062 [4 per cell]  2 V 2.37-2.53, 1 Mn 2.41, 2 Co 2.54
V 0.1188 0.3106 0.4122 [8 per cell]  2 Mn 2.38-2.61, 2 Co 2.41-2.53, 1 V 2.60
V 0.1892 0.0000 0.7972 [4 per cell]  2 Mn 2.33-2.35, 3 Co 2.34-2.59, 1 V 2.53
Co 0.0000 0.0000 0.5000 [2 per cell]  6 V 2.34-2.53, 2 Mn 2.40, 4 Co 2.62
Co 0.0000 0.1732 0.0000 [4 per cell]  3 Co 2.38-2.62, 6 V 2.41-2.59

No. 10
The following is a GGA-PBE calculation of Mn2V4Co after structural relaxation, from the Alexandria database.

Values from the calculation:
Its energy of formation is 0.072 eV per atom.

Lattice parameters (Å, degrees): 5.6574 5.6574 5.7041 90.00 90.00 90.00
With the nearest neighbours (Å) after each atom.
Space group I4/mmm (No. 139)
One atom of each set of equivalent atoms:
Mn 0.0000 0.5000 0.0000 [4 per cell]  8 V 2.46
V 0.2500 0.2500 0.2500 [8 per cell]  4 Mn 2.46, 2 Co 2.46
Co 0.0000 0.0000 0.0000 [2 per cell]  8 V 2.46

No. 11
The following is a GGA-PBE calculation of Mn3VCo4 after structural relaxation, from the Alexandria database.

Values from the calculation:
Its energy of formation is -0.031 eV per atom.

Lattice parameters (Å, degrees): 3.5035 3.5035 14.1424 90.00 90.00 90.00
With the nearest neighbours (Å) after each atom.
Space group I4/mmm (No. 139)
One atom of each set of equivalent atoms:
Mn 0.0000 0.0000 0.0000 [2 per cell]  4 V 2.48, 8 Co 2.53
Mn 0.0000 0.0000 0.2496 [4 per cell]  8 Co 2.44-2.45, 4 Mn 2.48
V 0.0000 0.0000 0.5000 [2 per cell]  4 Mn 2.48, 8 Co 2.53
Co 0.0000 0.5000 0.1292 [8 per cell]  6 Mn 2.44-2.53, 4 Co 2.48, 2 V 2.53

No. 12
The following is a GGA-PBE calculation of Mn2V5Co12 after structural relaxation, from the Alexandria database.

Values from the calculation:
Its energy of formation is 0.277 eV per atom.

Lattice parameters (Å, degrees): 13.8881 4.8530 7.6428 90.00 110.62 90.00
With the nearest neighbours (Å) after each atom.
Space group C2/m (No. 12)
One atom of each set of equivalent atoms:
Mn 0.0000 0.2489 0.0000 [4 per cell]  2 Mn 2.42-2.44, 4 Co 2.60, 2 V 2.70
V 0.0000 0.0000 0.5000 [2 per cell]  6 Co 2.34-2.52
V 0.1336 0.5000 0.8668 [4 per cell]  5 Co 2.21-2.40
V 0.1950 0.5000 0.3777 [4 per cell]  9 Co 2.37-2.65
Co 0.0200 0.5000 0.3543 [4 per cell]  2 V 2.21-2.37
Co 0.1131 0.0000 0.3042 [4 per cell]  4 Co 2.45-2.52, 3 V 2.52-2.65, 2 Mn 2.60
Co 0.1531 0.2509 0.6106 [8 per cell]  4 V 2.34-2.41, 5 Co 2.35-2.52
Co 0.2000 0.2299 0.1156 [8 per cell]  2 V 2.22-2.42, 3 Co 2.23-2.45

no.,calculated total energy (eV for the cell shown)
1,-82.1
2,-83.4
3,-118.9
4,-197.0
5,-219.9
6,-155.2
7,-101.2
8,-112.6
9,-219.6
10,-122.8
11,-130.6
12,-287.9